# 1
This record from Alexandria via LeMat-Bulk describes a geometry-optimized Tm6P5Cl structure. The functional is PBE.

The structure in CIF format:
```
data_Tm6P5Cl
_chemical_formula_sum 'Tm6 P5 Cl1'
_cell_length_a 6.834
_cell_length_b 6.834
_cell_length_c 6.820
_cell_angle_alpha 99.58
_cell_angle_beta 99.58
_cell_angle_gamma 119.96
_symmetry_space_group_name_H-M 'P 1'
_symmetry_Int_Tables_number 1
loop_
_symmetry_equiv_pos_as_xyz
'x,y,z'
loop_
_atom_site_label
_atom_site_type_symbol
_atom_site_fract_x
_atom_site_fract_y
_atom_site_fract_z
_atom_site_occupancy
Tm1 Tm 0.063 0.413 0.740 1
Tm2 Tm 0.236 0.236 0.258 1
Tm3 Tm 0.413 0.063 0.740 1
Tm4 Tm 0.587 0.937 0.260 1
Tm5 Tm 0.764 0.764 0.742 1
Tm6 Tm 0.937 0.587 0.260 1
P1 P 0.000 0.000 0.500 1
P2 P 0.167 0.833 0.000 1
P3 P 0.339 0.661 0.500 1
P4 P 0.661 0.339 0.500 1
P5 P 0.833 0.167 0.000 1
Cl1 Cl 0.500 0.500 0.000 1
```

- magnetic moment (μB/f.u.) = 0.0
- energy relative to the elements, uncorrected (meV per atom) = -1635

***

# 2
This record from Alexandria via LeMat-Bulk describes a geometry-optimized Tm2PCl3 structure. The functional is PBE.

The structure in CIF format:
```
data_Tm2PCl3
_chemical_formula_sum 'Tm4 P2 Cl6'
_cell_length_a 8.389
_cell_length_b 8.389
_cell_length_c 12.374
_cell_angle_alpha 124.31
_cell_angle_beta 124.31
_cell_angle_gamma 28.36
_symmetry_space_group_name_H-M 'P 1'
_symmetry_Int_Tables_number 1
loop_
_symmetry_equiv_pos_as_xyz
'x,y,z'
loop_
_atom_site_label
_atom_site_type_symbol
_atom_site_fract_x
_atom_site_fract_y
_atom_site_fract_z
_atom_site_occupancy
Tm1 Tm 0.107 0.107 0.457 1
Tm2 Tm 0.364 0.364 0.176 1
Tm3 Tm 0.636 0.636 0.824 1
Tm4 Tm 0.893 0.893 0.543 1
P1 P 0.096 0.096 0.667 1
P2 P 0.904 0.904 0.333 1
Cl1 Cl 0.162 0.162 0.005 1
Cl2 Cl 0.263 0.263 0.404 1
Cl3 Cl 0.443 0.443 0.730 1
Cl4 Cl 0.557 0.557 0.270 1
Cl5 Cl 0.737 0.737 0.596 1
Cl6 Cl 0.838 0.838 0.995 1
```

- magnetic moment (μB/f.u.) = 0.0
- energy relative to the elements, uncorrected (meV per atom) = -1875

***

# 3
This record from Alexandria via LeMat-Bulk describes a geometry-optimized Tm3PCl3 structure. The functional is PBE.

The structure in CIF format:
```
data_Tm3PCl3
_chemical_formula_sum 'Tm6 P2 Cl6'
_cell_length_a 10.763
_cell_length_b 10.763
_cell_length_c 10.763
_cell_angle_alpha 35.82
_cell_angle_beta 35.82
_cell_angle_gamma 35.82
_symmetry_space_group_name_H-M 'P 1'
_symmetry_Int_Tables_number 1
loop_
_symmetry_equiv_pos_as_xyz
'x,y,z'
loop_
_atom_site_label
_atom_site_type_symbol
_atom_site_fract_x
_atom_site_fract_y
_atom_site_fract_z
_atom_site_occupancy
Tm1 Tm 0.114 0.451 0.787 1
Tm2 Tm 0.213 0.886 0.549 1
Tm3 Tm 0.451 0.787 0.114 1
Tm4 Tm 0.549 0.213 0.886 1
Tm5 Tm 0.787 0.114 0.451 1
Tm6 Tm 0.886 0.549 0.213 1
P1 P 0.167 0.167 0.167 1
P2 P 0.833 0.833 0.833 1
Cl1 Cl 0.064 0.728 0.396 1
Cl2 Cl 0.272 0.604 0.936 1
Cl3 Cl 0.396 0.064 0.728 1
Cl4 Cl 0.604 0.936 0.272 1
Cl5 Cl 0.728 0.396 0.064 1
Cl6 Cl 0.936 0.272 0.604 1
```

- magnetic moment (μB/f.u.) = 0.0
- energy relative to the elements, uncorrected (meV per atom) = -1768

***

# 4
This record from Alexandria via LeMat-Bulk describes a geometry-optimized VPCl2 structure. The functional is PBE.

The structure in CIF format:
```
data_VPCl2
_chemical_formula_sum 'V1 P1 Cl2'
_cell_length_a 11.242
_cell_length_b 11.242
_cell_length_c 11.242
_cell_angle_alpha 15.50
_cell_angle_beta 15.50
_cell_angle_gamma 15.50
_symmetry_space_group_name_H-M 'P 1'
_symmetry_Int_Tables_number 1
loop_
_symmetry_equiv_pos_as_xyz
'x,y,z'
loop_
_atom_site_label
_atom_site_type_symbol
_atom_site_fract_x
_atom_site_fract_y
_atom_site_fract_z
_atom_site_occupancy
V1 V 0.000 0.000 0.000 1
P1 P 0.500 0.500 0.500 1
Cl1 Cl 0.382 0.382 0.382 1
Cl2 Cl 0.618 0.618 0.618 1
```

- magnetic moment (μB/f.u.) = 0.6
- energy relative to the elements, uncorrected (meV per atom) = -144

***

# 5
This record from Alexandria via LeMat-Bulk describes a geometry-optimized VPCl structure. The functional is PBE.

The structure in CIF format:
```
data_VPCl
_chemical_formula_sum 'V4 P4 Cl4'
_cell_length_a 8.483
_cell_length_b 8.483
_cell_length_c 3.223
_cell_angle_alpha 90.00
_cell_angle_beta 90.00
_cell_angle_gamma 90.00
_symmetry_space_group_name_H-M 'P 1'
_symmetry_Int_Tables_number 1
loop_
_symmetry_equiv_pos_as_xyz
'x,y,z'
loop_
_atom_site_label
_atom_site_type_symbol
_atom_site_fract_x
_atom_site_fract_y
_atom_site_fract_z
_atom_site_occupancy
V1 V 0.218 0.251 0.000 1
V2 V 0.251 0.782 0.500 1
V3 V 0.749 0.218 0.500 1
V4 V 0.782 0.749 0.000 1
P1 P 0.049 0.778 0.000 1
P2 P 0.222 0.049 0.500 1
P3 P 0.778 0.951 0.500 1
P4 P 0.951 0.222 0.000 1
Cl1 Cl 0.245 0.461 0.500 1
Cl2 Cl 0.461 0.755 0.000 1
Cl3 Cl 0.539 0.245 0.000 1
Cl4 Cl 0.755 0.539 0.500 1
```

- magnetic moment (μB/f.u.) = 1.2
- energy relative to the elements, uncorrected (meV per atom) = -526

***

# 6
This record from Alexandria via LeMat-Bulk describes a geometry-optimized V2P2Cl structure. The functional is PBE.

The structure in CIF format:
```
data_V2P2Cl
_chemical_formula_sum 'V2 P2 Cl1'
_cell_length_a 5.253
_cell_length_b 5.253
_cell_length_c 5.253
_cell_angle_alpha 130.22
_cell_angle_beta 130.22
_cell_angle_gamma 73.05
_symmetry_space_group_name_H-M 'P 1'
_symmetry_Int_Tables_number 1
loop_
_symmetry_equiv_pos_as_xyz
'x,y,z'
loop_
_atom_site_label
_atom_site_type_symbol
_atom_site_fract_x
_atom_site_fract_y
_atom_site_fract_z
_atom_site_occupancy
V1 V 0.250 0.750 0.500 1
V2 V 0.750 0.250 0.500 1
P1 P 0.131 0.131 0.000 1
P2 P 0.869 0.869 0.000 1
Cl1 Cl 0.500 0.500 0.000 1
```

- magnetic moment (μB/f.u.) = 3.7
- energy relative to the elements, uncorrected (meV per atom) = -296

***

> Number 3 is which compound?

Tm3PCl3

***

> Which value of magnetic moment does entry 5 give?

1.2 μB/f.u.

***

Repeat the sixth record exactly.
This record from Alexandria via LeMat-Bulk describes a geometry-optimized V2P2Cl structure. The functional is PBE.

The structure in CIF format:
```
data_V2P2Cl
_chemical_formula_sum 'V2 P2 Cl1'
_cell_length_a 5.253
_cell_length_b 5.253
_cell_length_c 5.253
_cell_angle_alpha 130.22
_cell_angle_beta 130.22
_cell_angle_gamma 73.05
_symmetry_space_group_name_H-M 'P 1'
_symmetry_Int_Tables_number 1
loop_
_symmetry_equiv_pos_as_xyz
'x,y,z'
loop_
_atom_site_label
_atom_site_type_symbol
_atom_site_fract_x
_atom_site_fract_y
_atom_site_fract_z
_atom_site_occupancy
V1 V 0.250 0.750 0.500 1
V2 V 0.750 0.250 0.500 1
P1 P 0.131 0.131 0.000 1
P2 P 0.869 0.869 0.000 1
Cl1 Cl 0.500 0.500 0.000 1
```

- magnetic moment (μB/f.u.) = 3.7
- energy relative to the elements, uncorrected (meV per atom) = -296